Entry 1:
A crystal of In3RuF relaxed with PBEsol, computed with meta-GGA SCAN.

Cell and atoms, written as CIF:
```
data_In3RuF
_chemical_formula_sum 'In3 Ru1 F1'
_cell_length_a 5.037
_cell_length_b 5.037
_cell_length_c 5.037
_cell_angle_alpha 90.00
_cell_angle_beta 90.00
_cell_angle_gamma 90.00
_symmetry_space_group_name_H-M 'P m -3 m'
_symmetry_Int_Tables_number 221
_symmetry_space_group_name_Hall '-P 4 2 3'
loop_
_atom_site_label
_atom_site_fract_x
_atom_site_fract_y
_atom_site_fract_z
_atom_site_occupancy
In1 0.000 0.000 0.500 1
Ru1 0.000 0.000 0.000 1
F1 0.500 0.500 0.500 1
```


Entry 2:
# meta-GGA SCAN LaSc2Cd2, single point on PBEsol structure
data_LaSc2Cd2
_chemical_formula_sum 'La2 Sc4 Cd4'
_cell_length_a 8.677
_cell_length_b 8.677
_cell_length_c 3.165
_cell_angle_alpha 90.00
_cell_angle_beta 90.00
_cell_angle_gamma 90.00
_symmetry_space_group_name_H-M 'P 4/m b m'
_symmetry_Int_Tables_number 127
_symmetry_space_group_name_Hall '-P 4 2ab'
loop_
_atom_site_label
_atom_site_fract_x
_atom_site_fract_y
_atom_site_fract_z
_atom_site_occupancy
La1 0.000 0.000 0.000 1
Sc1 0.127 0.373 0.000 1
Cd1 0.170 0.670 0.500 1
# DFT formation energy in kJ per mole of atoms: -28.8


Energy per entry: -140.5; -267.8 eV per cell